Entry 1:
First-principles (GGA-PBE) data for a relaxed Ca4TmU3As8 crystal, as listed in the Alexandria database.

a b c (Å): 8.304 8.366 8.305
angles (deg): 119.79 120.00 90.00
Last column: magnetic moment on the atom in μB.
Atoms (fractional coordinates):
Ca (0.000, 0.000, 0.500)  -0.01
As (0.245, 0.731, 0.491)  -0.06
As (0.754, 0.270, 0.015)  -0.06
As (0.755, 0.269, 0.509)  -0.06
U (0.500, 0.500, 0.000)  1.80
As (0.256, 0.269, 0.513)  -0.06
U (0.500, 0.500, 0.500)  1.80
As (0.744, 0.731, 0.487)  -0.06
U (0.000, 0.500, 0.500)  1.80
Ca (0.000, 0.000, 0.000)  -0.01
As (0.739, 0.730, 0.985)  -0.06
As (0.246, 0.730, 0.985)  -0.06
Tm (0.000, 0.500, 0.000)  -0.01
As (0.261, 0.270, 0.015)  -0.06
Ca (0.500, 0.000, 0.000)  0.00
Ca (0.500, 0.000, 0.500)  -0.01

Calculated values
calculated total energy	-6.292	eV per atom
ΔE_f	-1.07	eV/atom
N(E_F)	1.166	states/eV per atom


Entry 2:
First-principles (GGA-PBE) data for a relaxed CaHgCl2O crystal, as listed in the Alexandria database.

a b c (Å): 3.944 6.683 8.389
angles (deg): 90.00 90.00 107.16
Atoms (fractional coordinates):
Cl (0.346, 0.692, 0.431)
O (0.080, 0.160, 0.250)
Hg (0.000, 0.000, 0.000)
Ca (0.319, 0.638, 0.750)
Hg (0.000, 0.000, 0.500)
O (0.920, 0.840, 0.750)
Cl (0.346, 0.692, 0.069)
Cl (0.654, 0.308, 0.931)
Ca (0.681, 0.362, 0.250)
Cl (0.654, 0.308, 0.569)

Calculated values
calculated total energy	-3.653	eV per atom
energy relative to the elements, uncorrected	-1.462	eV/atom


Entry 3:
First-principles (GGA-PBE) data for a relaxed MnInCo crystal, as listed in the Alexandria database.

a b c (Å): 5.095 5.089 5.089
angles (deg): 143.75 143.78 52.16
Last column: magnetic moment on the atom in μB.
Atoms (fractional coordinates):
Co (0.017, 0.017, 0.000)  1.52
In (0.338, 0.338, 0.000)  -0.05
Mn (0.645, 0.645, 0.000)  3.44

Calculated values
calculated total energy	-6.245	eV per atom
excess energy over the best structure of this formula in the dataset	0.000	eV/atom
ΔE_f	0.09	eV/atom
N(E_F)	0.300	states/eV per atom


Entry 4:
First-principles (GGA-PBE) data for a relaxed RbCaPmCl6 crystal, as listed in the Alexandria database.

a b c (Å): 7.242 7.242 14.185
angles (deg): 90.00 90.00 120.00
Atoms (fractional coordinates):
Cl (0.997, 0.624, 0.358)
Cl (0.624, 0.627, 0.642)
Cl (0.373, 0.376, 0.858)
Cl (0.003, 0.627, 0.858)
Ca (0.667, 0.333, 0.750)
Cl (0.003, 0.376, 0.642)
Cl (0.624, 0.997, 0.858)
Cl (0.997, 0.373, 0.142)
Rb (0.000, 0.000, 0.500)
Cl (0.627, 0.624, 0.142)
Cl (0.376, 0.003, 0.142)
Ca (0.333, 0.667, 0.250)
Pm (0.333, 0.667, 0.750)
Cl (0.376, 0.373, 0.358)
Cl (0.373, 0.997, 0.642)
Cl (0.627, 0.003, 0.358)
Rb (0.000, 0.000, 0.000)
Pm (0.667, 0.333, 0.250)

Calculated values
calculated total energy	-4.373	eV per atom
energy relative to the elements, uncorrected	-2.284	eV/atom
N(E_F)	0.000	states/eV per atom